4
Lattice="-1.854 1.863 -0.043 -2.728 -2.650 2.861 2.748 2.797 2.697" Properties=species:S:1:pos:R:3 comment="meta-GGA SCAN Zn2RePt, single point on PBEsol structure" spacegroup="Cmmm, No. 65" relative_energy_mev_per_atom=23 ef_ev_per_atom=0.014 e_tot_ev_per_cell=-168.3 pbc="T T T"
Re -0.917 1.005 2.758
Zn 1.374 1.399 1.348
Zn -1.364 -1.325 1.431
Pt -0.927 0.931 -0.021